No. 1
Entry from the Alexandria database: crystalline Tm3H2Pb3 at its relaxed geometry (PBE-GGA).

abc: 3.6852 6.1731 16.2380
angles: 90.00 90.00 107.37
Element x y z (fractional)
Tm 0.6479 0.2957 0.4437
Tm 0.3521 0.7043 0.9437
Tm 0.6479 0.2957 0.0563
Tm 0.3521 0.7043 0.5563
Tm 0.3060 0.6119 0.2500
Tm 0.6940 0.3881 0.7500
H 0.7739 0.5477 0.9628
H 0.2261 0.4523 0.4628
H 0.7739 0.5477 0.5372
H 0.2261 0.4523 0.0372
Pb 0.9294 0.8588 0.3878
Pb 0.0706 0.1412 0.8878
Pb 0.9294 0.8588 0.1122
Pb 0.0706 0.1412 0.6122
Pb 0.5811 0.1622 0.2500
Pb 0.4189 0.8378 0.7500

SG = No. 63
V = 352.6 Å³/cell
Crystal system = orthorhombic
Calculated total energy = -4.286 eV per atom

=====

No. 2
Entry from the Alexandria database: crystalline VH2Pb at its relaxed geometry (PBE-GGA).

abc: 5.9704 5.9704 5.0919
angles: 54.11 54.11 90.00
Element x y z (fractional)
Pb 0.0000 0.0000 0.0000
Pb 0.7500 0.2500 0.5000
H 0.4820 0.1250 0.2500
H 0.2680 0.6250 0.2500
H 0.3750 0.5180 0.7500
H 0.8750 0.7320 0.7500
V 0.5000 0.5000 0.0000
V 0.2500 0.7500 0.5000

SG = No. 122
V = 101.5 Å³/cell
Crystal system = tetragonal
Distance to the lowest polymorph of the same formula = 0.0 meV/atom
Calculated total energy = -4.617 eV per atom

=====

No. 3
Entry from the Alexandria database: crystalline VH3Pb at its relaxed geometry (PBE-GGA).

abc: 4.2048 4.2048 4.2048
angles: 90.00 90.00 90.00
Element x y z (fractional)
Pb 0.0000 0.0000 0.0000
H 0.0000 0.5000 0.0000
H 0.0000 0.0000 0.5000
H 0.5000 0.0000 0.0000
V 0.5000 0.5000 0.5000

SG = No. 221
V = 74.3 Å³/cell
Crystal system = cubic
Distance to the lowest polymorph of the same formula = 854.3 meV/atom
Calculated total energy = -3.488 eV per atom

=====

Q: The lowest V belongs to which entry?
A: VH3Pb

=====

Q: Which value of calculated total energy does entry 3 give?
A: -3.488 eV per atom

=====

Please write out number 2 again, unchanged.
Entry from the Alexandria database: crystalline VH2Pb at its relaxed geometry (PBE-GGA).

abc: 5.9704 5.9704 5.0919
angles: 54.11 54.11 90.00
Element x y z (fractional)
Pb 0.0000 0.0000 0.0000
Pb 0.7500 0.2500 0.5000
H 0.4820 0.1250 0.2500
H 0.2680 0.6250 0.2500
H 0.3750 0.5180 0.7500
H 0.8750 0.7320 0.7500
V 0.5000 0.5000 0.0000
V 0.2500 0.7500 0.5000

SG = No. 122
V = 101.5 Å³/cell
Crystal system = tetragonal
Distance to the lowest polymorph of the same formula = 0.0 meV/atom
Calculated total energy = -4.617 eV per atom